Record 1
{
  "formula": "Na2LiZn16",
  "functional": "GGA-PBE",
  "state": "relaxed",
  "crystal_system": "trigonal",
  "e_tot_ev_per_cell": -25.924,
  "lattice_angstrom": [[6.802, 0.046, 0.818], [0.731, 6.763, 0.818], [0.051, 0.046, 6.851]],
  "species": ["Zn", "Zn", "Zn", "Zn", "Zn", "Zn", "Zn", "Zn", "Zn", "Zn", "Zn", "Zn", "Zn", "Zn", "Zn", "Zn", "Na", "Na", "Li"],
  "frac_coords": [[0.701, 0.297, 0.998], [0.349, 0.349, 0.842], [0.701, 0.998, 0.297], [0.999, 0.500, 0.999], [0.500, 0.999, 0.999], [0.998, 0.701, 0.297], [0.153, 0.650, 0.650], [0.650, 0.650, 0.153], [0.297, 0.998, 0.701], [0.998, 0.297, 0.701], [0.842, 0.349, 0.349], [0.650, 0.153, 0.650], [0.999, 0.999, 0.500], [0.349, 0.842, 0.349], [0.297, 0.701, 0.998], [0.110, 0.110, 0.110], [0.659, 0.659, 0.659], [0.343, 0.343, 0.343], [0.907, 0.907, 0.907]]
}

Record 2
{
  "formula": "NaLi9Zn2",
  "functional": "GGA-PBE",
  "state": "relaxed",
  "crystal_system": "hexagonal",
  "e_tot_ev_per_cell": -21.424,
  "lattice_angstrom": [[2.913, 0.000, 0.000], [0.000, 9.593, 0.000], [0.000, -4.797, 8.308]],
  "species": ["Li", "Li", "Li", "Li", "Li", "Li", "Li", "Li", "Li", "Zn", "Zn", "Na"],
  "frac_coords": [[0.500, 0.812, 0.624], [0.500, 0.188, 0.812], [0.500, 0.376, 0.188], [0.500, 0.188, 0.376], [0.000, 0.500, 0.500], [0.500, 0.624, 0.812], [0.000, 0.000, 0.500], [0.500, 0.812, 0.188], [0.000, 0.500, 0.000], [0.000, 0.667, 0.333], [0.000, 0.333, 0.667], [0.000, 0.000, 0.000]]
}

Record 3
{
  "formula": "Na2LiZn",
  "functional": "GGA-PBE",
  "state": "relaxed",
  "crystal_system": "tetragonal",
  "e_tot_ev_per_cell": -10.319,
  "lattice_angstrom": [[-6.884, -1.712, -4.500], [3.232, -7.463, -2.104], [-3.097, -5.818, -0.891]],
  "species": ["Na", "Na", "Na", "Na", "Zn", "Zn", "Li", "Li"],
  "frac_coords": [[0.638, 0.125, 0.250], [0.112, 0.625, 0.250], [0.875, 0.888, 0.750], [0.375, 0.362, 0.750], [0.750, 0.250, 0.500], [0.000, 0.000, 0.000], [0.250, 0.750, 0.500], [0.500, 0.500, 0.000]]
}

Record 4
{
  "formula": "NaLiZr3",
  "functional": "GGA-PBE",
  "state": "relaxed",
  "relative_energy_mev_per_atom": 544,
  "crystal_system": "cubic",
  "lattice_angstrom": [[5.095, 0.000, 0.000], [0.000, 5.095, 0.000], [0.000, 0.000, 5.095]],
  "species": ["Zr", "Zr", "Zr", "Na", "Li"],
  "frac_coords": [[0.500, 0.000, 0.000], [0.000, 0.500, 0.000], [0.000, 0.000, 0.500], [0.000, 0.000, 0.000], [0.500, 0.500, 0.500]]
}

Record 5
{
  "formula": "NaLi2Zr",
  "functional": "GGA-PBE",
  "state": "relaxed",
  "relative_energy_mev_per_atom": 425,
  "crystal_system": "tetragonal",
  "lattice_angstrom": [[-4.859, -5.404, -2.029], [4.966, -5.266, 2.130], [-1.170, -5.320, 2.940]],
  "species": ["Li", "Li", "Li", "Li", "Zr", "Zr", "Na", "Na"],
  "frac_coords": [[0.875, 0.854, 0.750], [0.604, 0.125, 0.250], [0.146, 0.625, 0.250], [0.375, 0.396, 0.750], [0.000, 0.000, 0.000], [0.750, 0.250, 0.500], [0.500, 0.500, 0.000], [0.250, 0.750, 0.500]]
}

Record 6
{
  "formula": "NaLiZr2",
  "functional": "GGA-PBE",
  "state": "relaxed",
  "relative_energy_mev_per_atom": 92,
  "crystal_system": "cubic",
  "lattice_angstrom": [[1.304, -4.138, 2.398], [1.576, 0.247, 4.693], [-2.846, -1.743, 3.666]],
  "species": ["Li", "Zr", "Zr", "Na"],
  "frac_coords": [[0.000, 0.000, 0.000], [0.750, 0.750, 0.750], [0.250, 0.250, 0.250], [0.500, 0.500, 0.500]]
}

Record 7
{
  "formula": "NaLiZr3",
  "functional": "GGA-PBE",
  "state": "relaxed",
  "relative_energy_mev_per_atom": 0,
  "crystal_system": "cubic",
  "lattice_angstrom": [[-4.374, -2.171, -0.592], [1.967, -4.317, 1.301], [-1.094, 0.920, 4.707]],
  "species": ["Zr", "Zr", "Zr", "Li", "Na"],
  "frac_coords": [[0.000, 0.500, 0.000], [0.000, 0.000, 0.500], [0.500, 0.000, 0.000], [0.000, 0.000, 0.000], [0.500, 0.500, 0.500]]
}

Record 8
{
  "formula": "NaLi2Zr",
  "functional": "GGA-PBE",
  "state": "relaxed",
  "relative_energy_mev_per_atom": 339,
  "crystal_system": "cubic",
  "lattice_angstrom": [[2.705, -0.750, 4.120], [-0.196, 3.287, 3.743], [-2.256, -1.221, 4.275]],
  "species": ["Li", "Li", "Zr", "Na"],
  "frac_coords": [[0.250, 0.250, 0.250], [0.750, 0.750, 0.750], [0.500, 0.500, 0.500], [0.000, 0.000, 0.000]]
}

Record 9
{
  "formula": "NaLiZr2",
  "functional": "GGA-PBE",
  "state": "relaxed",
  "relative_energy_mev_per_atom": 0,
  "crystal_system": "tetragonal",
  "lattice_angstrom": [[-1.468, 0.538, 3.704], [1.899, -3.322, 1.235], [9.939, 5.241, 5.359]],
  "species": ["Na", "Na", "Li", "Li", "Zr", "Zr", "Zr", "Zr"],
  "frac_coords": [[0.000, 0.000, 0.000], [0.750, 0.250, 0.500], [0.250, 0.750, 0.500], [0.500, 0.500, 0.000], [0.375, 0.872, 0.750], [0.622, 0.625, 0.250], [0.128, 0.125, 0.250], [0.875, 0.378, 0.750]]
}

Record 10
{
  "formula": "NaLi2Zr",
  "functional": "GGA-PBE",
  "state": "relaxed",
  "relative_energy_mev_per_atom": 0,
  "crystal_system": "trigonal",
  "lattice_angstrom": [[3.030, 0.000, 0.000], [1.515, 2.624, 0.000], [1.515, 0.875, 11.826]],
  "species": ["Zr", "Na", "Li", "Li"],
  "frac_coords": [[0.000, 0.000, 0.000], [0.500, 0.500, 0.500], [0.918, 0.918, 0.247], [0.082, 0.082, 0.753]]
}

Record 11
{
  "formula": "LiNb",
  "functional": "GGA-PBE",
  "state": "relaxed",
  "relative_energy_mev_per_atom": 528,
  "crystal_system": "tetragonal",
  "lattice_angstrom": [[-0.434, 2.833, -4.123], [-4.355, -2.251, -1.088], [-2.598, 3.674, 2.798]],
  "species": ["Nb", "Nb", "Nb", "Nb", "Li", "Li", "Li", "Li"],
  "frac_coords": [[0.164, 0.836, 0.500], [0.336, 0.336, 0.000], [0.664, 0.664, 0.000], [0.836, 0.164, 0.500], [0.660, 0.660, 0.500], [0.160, 0.840, 0.000], [0.840, 0.160, 0.000], [0.340, 0.340, 0.500]]
}

Record 12
{
  "formula": "LiNb",
  "functional": "GGA-PBE",
  "state": "relaxed",
  "relative_energy_mev_per_atom": 24,
  "crystal_system": "hexagonal",
  "lattice_angstrom": [[9.658, 0.000, 0.000], [-4.829, 8.364, 0.000], [0.000, 0.000, 2.835]],
  "species": ["Nb", "Nb", "Nb", "Nb", "Nb", "Nb", "Li", "Li", "Li", "Li", "Li", "Li"],
  "frac_coords": [[0.859, 0.442, 0.250], [0.583, 0.141, 0.250], [0.442, 0.583, 0.750], [0.558, 0.417, 0.250], [0.417, 0.859, 0.750], [0.141, 0.558, 0.750], [0.109, 0.809, 0.250], [0.191, 0.300, 0.250], [0.809, 0.700, 0.750], [0.300, 0.109, 0.750], [0.700, 0.891, 0.250], [0.891, 0.191, 0.750]]
}

Record 13
{
  "formula": "LiNb",
  "functional": "GGA-PBE",
  "state": "relaxed",
  "relative_energy_mev_per_atom": 78,
  "crystal_system": "orthorhombic",
  "lattice_angstrom": [[-5.380, 8.216, -0.395], [-3.754, -2.520, -1.294], [-1.467, -0.691, 5.604]],
  "species": ["Li", "Li", "Li", "Li", "Li", "Li", "Li", "Li", "Nb", "Nb", "Nb", "Nb", "Nb", "Nb", "Nb", "Nb"],
  "frac_coords": [[0.334, 0.250, 0.848], [0.925, 0.750, 0.402], [0.666, 0.750, 0.152], [0.834, 0.250, 0.652], [0.575, 0.250, 0.902], [0.425, 0.750, 0.098], [0.166, 0.750, 0.348], [0.075, 0.250, 0.598], [0.682, 0.750, 0.647], [0.573, 0.250, 0.409], [0.073, 0.250, 0.091], [0.318, 0.250, 0.353], [0.818, 0.250, 0.147], [0.927, 0.750, 0.909], [0.427, 0.750, 0.591], [0.182, 0.750, 0.853]]
}

Record 14
{
  "formula": "LiNb",
  "functional": "GGA-PBE",
  "state": "relaxed",
  "relative_energy_mev_per_atom": 41,
  "crystal_system": "tetragonal",
  "lattice_angstrom": [[9.469, 0.000, 0.000], [0.000, 9.469, 0.000], [0.000, 0.000, 3.209]],
  "species": ["Li", "Li", "Li", "Li", "Li", "Li", "Li", "Li", "Nb", "Nb", "Nb", "Nb", "Nb", "Nb", "Nb", "Nb"],
  "frac_coords": [[0.156, 0.844, 0.500], [0.000, 0.312, 0.000], [0.312, 0.000, 0.000], [0.844, 0.844, 0.500], [0.844, 0.156, 0.500], [0.688, 0.000, 0.000], [0.000, 0.688, 0.000], [0.156, 0.156, 0.500], [0.350, 0.650, 0.000], [0.500, 0.159, 0.500], [0.500, 0.841, 0.500], [0.650, 0.650, 0.000], [0.350, 0.350, 0.000], [0.650, 0.350, 0.000], [0.841, 0.500, 0.500], [0.159, 0.500, 0.500]]
}

Record 15
{
  "formula": "LiNb",
  "functional": "GGA-PBE",
  "state": "relaxed",
  "relative_energy_mev_per_atom": 2108,
  "crystal_system": "cubic",
  "lattice_angstrom": [[5.408, 0.000, 0.000], [0.000, 5.408, 0.000], [0.000, 0.000, 5.408]],
  "species": ["Nb", "Nb", "Nb", "Nb", "Li", "Li", "Li", "Li"],
  "frac_coords": [[0.500, 0.500, 0.000], [0.500, 0.000, 0.500], [0.000, 0.000, 0.000], [0.000, 0.500, 0.500], [0.750, 0.750, 0.250], [0.750, 0.250, 0.750], [0.250, 0.250, 0.250], [0.250, 0.750, 0.750]]
}

Record 16
{
  "formula": "LiNb4",
  "functional": "GGA-PBE",
  "state": "relaxed",
  "crystal_system": "cubic",
  "e_tot_ev_per_cell": -36.931,
  "lattice_angstrom": [[-0.496, 0.069, 4.431], [-4.304, -1.071, -0.465], [1.057, -4.328, 0.185]],
  "species": ["Nb", "Nb", "Nb", "Nb", "Li"],
  "frac_coords": [[0.000, 0.000, 0.000], [0.500, 0.000, 0.500], [0.000, 0.500, 0.500], [0.500, 0.500, 0.000], [0.500, 0.500, 0.500]]
}

Record 17
{
  "formula": "LiNb",
  "functional": "GGA-PBE",
  "state": "relaxed",
  "relative_energy_mev_per_atom": 919,
  "crystal_system": "cubic",
  "lattice_angstrom": [[5.044, 0.000, 0.000], [0.000, 5.044, 0.000], [0.000, 0.000, 5.044]],
  "species": ["Li", "Li", "Li", "Li", "Nb", "Nb", "Nb", "Nb"],
  "frac_coords": [[0.500, 0.500, 0.000], [0.000, 0.000, 0.000], [0.000, 0.500, 0.500], [0.500, 0.000, 0.500], [0.500, 0.500, 0.500], [0.000, 0.000, 0.500], [0.000, 0.500, 0.000], [0.500, 0.000, 0.000]]
}

Record 18
{
  "formula": "LiNb",
  "functional": "GGA-PBE",
  "state": "relaxed",
  "relative_energy_mev_per_atom": 125,
  "crystal_system": "tetragonal",
  "lattice_angstrom": [[-1.278, -3.835, 8.601], [-4.326, -7.470, -3.974], [2.553, -1.358, -0.226]],
  "species": ["Nb", "Nb", "Nb", "Nb", "Nb", "Nb", "Nb", "Nb", "Li", "Li", "Li", "Li", "Li", "Li", "Li", "Li"],
  "frac_coords": [[0.342, 0.342, 0.500], [0.842, 0.158, 0.000], [0.658, 0.658, 0.500], [0.842, 0.842, 0.000], [0.158, 0.842, 0.000], [0.658, 0.342, 0.500], [0.158, 0.158, 0.000], [0.342, 0.658, 0.500], [0.347, 0.000, 0.500], [0.153, 0.500, 0.000], [0.500, 0.847, 0.000], [0.653, 0.000, 0.500], [0.000, 0.347, 0.500], [0.847, 0.500, 0.000], [0.500, 0.153, 0.000], [0.000, 0.653, 0.500]]
}

Record 19
{
  "formula": "LiNb",
  "functional": "GGA-PBE",
  "state": "relaxed",
  "relative_energy_mev_per_atom": 2365,
  "crystal_system": "cubic",
  "lattice_angstrom": [[-3.809, -2.853, 4.818], [-0.622, -5.576, -3.793], [5.565, -2.576, 2.874]],
  "species": ["Nb", "Nb", "Nb", "Nb", "Nb", "Nb", "Li", "Li", "Li", "Li", "Li", "Li"],
  "frac_coords": [[0.000, 0.500, 0.250], [0.500, 0.250, 0.000], [0.500, 0.750, 0.000], [0.750, 0.000, 0.500], [0.250, 0.000, 0.500], [0.000, 0.500, 0.750], [0.000, 0.750, 0.500], [0.000, 0.250, 0.500], [0.500, 0.000, 0.250], [0.250, 0.500, 0.000], [0.750, 0.500, 0.000], [0.500, 0.000, 0.750]]
}

Record 20
{
  "formula": "LiNb",
  "functional": "GGA-PBE",
  "state": "relaxed",
  "relative_energy_mev_per_atom": 0,
  "crystal_system": "orthorhombic",
  "lattice_angstrom": [[-0.075, -1.649, -2.103], [-10.189, -14.172, 11.482], [-8.838, 4.042, -2.854]],
  "species": ["Nb", "Nb", "Nb", "Nb", "Nb", "Nb", "Nb", "Nb", "Nb", "Nb", "Nb", "Nb", "Nb", "Nb", "Nb", "Nb", "Li", "Li", "Li", "Li", "Li", "Li", "Li", "Li", "Li", "Li", "Li", "Li", "Li", "Li", "Li", "Li"],
  "frac_coords": [[0.250, 0.872, 0.750], [0.250, 0.372, 0.250], [0.750, 0.372, 0.750], [0.500, 0.622, 0.500], [0.250, 0.128, 0.250], [0.000, 0.878, 0.500], [0.250, 0.628, 0.750], [0.000, 0.122, 0.500], [0.500, 0.378, 0.500], [0.000, 0.622, 0.000], [0.500, 0.122, 0.000], [0.750, 0.128, 0.750], [0.750, 0.628, 0.250], [0.000, 0.378, 0.000], [0.500, 0.878, 0.000], [0.750, 0.872, 0.250], [0.000, 0.500, 0.373], [0.250, 0.750, 0.123], [0.500, 0.000, 0.627], [0.500, 0.500, 0.873], [0.250, 0.250, 0.877], [0.750, 0.250, 0.123], [0.500, 0.500, 0.127], [0.000, 0.000, 0.127], [0.250, 0.750, 0.377], [0.750, 0.750, 0.623], [0.250, 0.250, 0.623], [0.000, 0.500, 0.627], [0.000, 0.000, 0.873], [0.750, 0.250, 0.377], [0.500, 0.000, 0.373], [0.750, 0.750, 0.877]]
}

Record 21
{
  "formula": "LiNb",
  "functional": "GGA-PBE",
  "state": "relaxed",
  "relative_energy_mev_per_atom": 1665,
  "crystal_system": "hexagonal",
  "lattice_angstrom": [[-2.302, -3.480, -1.199], [4.338, -0.106, -0.158], [0.127, -1.670, 4.604]],
  "species": ["Nb", "Nb", "Li", "Li"],
  "frac_coords": [[0.667, 0.333, 0.250], [0.333, 0.667, 0.750], [0.667, 0.333, 0.750], [0.333, 0.667, 0.250]]
}

Record 22
{
  "formula": "LiNb",
  "functional": "GGA-PBE",
  "state": "relaxed",
  "relative_energy_mev_per_atom": 1123,
  "crystal_system": "cubic",
  "lattice_angstrom": [[-0.168, 2.788, 8.540], [3.329, -7.914, 2.649], [8.344, 3.214, -0.885]],
  "species": ["Li", "Li", "Li", "Li", "Li", "Li", "Li", "Li", "Nb", "Nb", "Nb", "Nb", "Nb", "Nb", "Nb", "Nb"],
  "frac_coords": [[0.299, 0.701, 0.299], [0.701, 0.299, 0.299], [0.299, 0.299, 0.701], [0.799, 0.799, 0.201], [0.201, 0.799, 0.799], [0.799, 0.201, 0.799], [0.201, 0.201, 0.201], [0.701, 0.701, 0.701], [0.900, 0.100, 0.100], [0.900, 0.900, 0.900], [0.100, 0.100, 0.900], [0.600, 0.600, 0.400], [0.600, 0.400, 0.600], [0.400, 0.400, 0.400], [0.400, 0.600, 0.600], [0.100, 0.900, 0.100]]
}

| no. | magnetic moment (μB/f.u.) |
| --- | --- |
| 1 | 0.0 |
| 2 | 0.0 |
| 3 | 0.0 |
| 4 | 0.0 |
| 5 | 0.9 |
| 6 | 0.0 |
| 7 | 0.0 |
| 8 | 0.0 |
| 9 | 0.0 |
| 10 | 0.0 |
| 11 | 0.0 |
| 12 | 0.0 |
| 13 | 0.0 |
| 14 | 0.0 |
| 15 | 0.7 |
| 16 | 0.0 |
| 17 | 0.0 |
| 18 | 0.0 |
| 19 | 1.0 |
| 20 | 0.0 |
| 21 | 0.4 |
| 22 | 0.0 |